No. 1
VASP calculation (GGA-PBE) on crystalline BeTlNiAs2 at its relaxed geometry.

The structure in extended XYZ format:
```
5
Lattice="-4.078 1.680 0.024 -1.491 -3.661 3.077 1.049 2.498 3.481" Properties=species:S:1:pos:R:3 pbc="T T T"
As 0.525 1.249 1.740
Tl -0.745 -1.831 1.538
Ni -2.260 0.258 3.291
As -2.039 0.840 0.012
Be 0.000 0.000 0.000
```

Computed properties:
The final energy is -0.258 Ry per atom. The value obtained for the density of states at the Fermi level is 0.91 states/eV/atom. For the total magnetic moment, the calculation gives 0.4 Bohr magnetons per cell.


No. 2
VASP calculation (GGA-PBE) on crystalline NpBe3As3 at its relaxed geometry.

The structure in extended XYZ format:
```
14
Lattice="6.311 0.000 0.000 0.000 6.311 0.000 0.000 0.000 6.311" Properties=species:S:1:pos:R:3 pbc="T T T"
As 3.156 0.000 4.733
As 0.000 4.733 3.156
As 4.733 3.156 0.000
Be 4.733 0.000 3.156
Be 3.156 1.578 0.000
Be 0.000 3.156 1.578
Np 3.156 3.156 3.156
Np 0.000 0.000 0.000
Be 1.578 0.000 3.156
As 3.156 0.000 1.578
Be 0.000 3.156 4.733
As 1.578 3.156 0.000
As 0.000 1.578 3.156
Be 3.156 4.733 0.000
```

Computed properties:
The final energy is -0.401 Ry per atom. The value obtained for the density of states at the Fermi level is 0.89 states/eV/atom. For the total magnetic moment, the calculation gives 8.9 Bohr magnetons per cell. For the distance to the lowest polymorph of the same formula, the calculation gives 255 meV per atom.